Record 1
A plane-wave DFT calculation with GGA-PBE was carried out for crystalline NbSiPb at its relaxed geometry.

Summary:
DFT total energy	-5.79	eV per atom

a = 10.660 Å, b = 10.660 Å, c = 10.660 Å
α = 20.27°, β = 20.27°, γ = 20.27°
Positions (direct):
Nb1 0.192 0.192 0.192
Nb2 0.808 0.808 0.808
Si1 0.348 0.348 0.348
Si2 0.652 0.652 0.652
Pb1 0.077 0.077 0.077
Pb2 0.923 0.923 0.923


Record 2
A plane-wave DFT calculation with GGA-PBE was carried out for crystalline NbSiPb at its relaxed geometry.

Summary:
DFT total energy	-5.77	eV per atom

a = 6.431 Å, b = 6.431 Å, c = 6.431 Å
α = 90.00°, β = 90.00°, γ = 90.00°
Positions (direct):
Nb1 0.000 0.000 0.000
Nb2 0.000 0.500 0.500
Nb3 0.500 0.000 0.500
Nb4 0.500 0.500 0.000
Si1 0.250 0.250 0.250
Si2 0.250 0.750 0.750
Si3 0.750 0.250 0.750
Si4 0.750 0.750 0.250
Pb1 0.000 0.000 0.500
Pb2 0.000 0.500 0.000
Pb3 0.500 0.000 0.000
Pb4 0.500 0.500 0.500


Record 3
A plane-wave DFT calculation with GGA-PBE was carried out for crystalline SmNbPb at its relaxed geometry.

Summary:
relative energy among the computed polymorphs	0.450	eV/atom
DFT total energy	-5.27	eV per atom

a = 7.239 Å, b = 7.239 Å, c = 7.239 Å
α = 90.00°, β = 90.00°, γ = 90.00°
Positions (direct):
Sm1 0.000 0.000 0.000
Sm2 0.000 0.500 0.500
Sm3 0.500 0.000 0.500
Sm4 0.500 0.500 0.000
Nb1 0.250 0.250 0.750
Nb2 0.250 0.750 0.250
Nb3 0.750 0.250 0.250
Nb4 0.750 0.750 0.750
Pb1 0.250 0.250 0.250
Pb2 0.250 0.750 0.750
Pb3 0.750 0.250 0.750
Pb4 0.750 0.750 0.250


Record 4
A plane-wave DFT calculation with GGA-PBE was carried out for crystalline SmNbPb at its relaxed geometry.

Summary:
relative energy among the computed polymorphs	0.000	eV/atom
DFT total energy	-5.72	eV per atom

a = 7.015 Å, b = 7.015 Å, c = 7.015 Å
α = 90.00°, β = 90.00°, γ = 90.00°
Positions (direct):
Sm1 0.000 0.000 0.000
Sm2 0.000 0.500 0.500
Sm3 0.500 0.000 0.500
Sm4 0.500 0.500 0.000
Nb1 0.000 0.000 0.500
Nb2 0.000 0.500 0.000
Nb3 0.500 0.000 0.000
Nb4 0.500 0.500 0.500
Pb1 0.250 0.250 0.750
Pb2 0.250 0.750 0.250
Pb3 0.750 0.250 0.250
Pb4 0.750 0.750 0.750


Record 5
A plane-wave DFT calculation with GGA-PBE was carried out for crystalline Nb2SnTe4Pb at its relaxed geometry.

Summary:
DFT total energy	-5.39	eV per atom

a = 3.648 Å, b = 3.648 Å, c = 20.154 Å
α = 90.00°, β = 90.00°, γ = 120.00°
Positions (direct):
Nb1 0.333 0.667 0.247
Nb2 0.667 0.333 0.753
Sn1 0.000 0.000 0.000
Te1 0.000 0.000 0.156
Te2 0.000 0.000 0.338
Te3 0.000 0.000 0.662
Te4 0.000 0.000 0.844
Pb1 0.000 0.000 0.500


Record 6
A plane-wave DFT calculation with GGA-PBE was carried out for crystalline SrNbPb at its relaxed geometry.

Summary:
relative energy among the computed polymorphs	0.000	eV/atom
DFT total energy	-4.54	eV per atom

a = 7.300 Å, b = 7.300 Å, c = 7.300 Å
α = 90.00°, β = 90.00°, γ = 90.00°
Positions (direct):
Sr1 0.000 0.000 0.000
Sr2 0.000 0.500 0.500
Sr3 0.500 0.000 0.500
Sr4 0.500 0.500 0.000
Nb1 0.000 0.000 0.500
Nb2 0.000 0.500 0.000
Nb3 0.500 0.000 0.000
Nb4 0.500 0.500 0.500
Pb1 0.250 0.250 0.750
Pb2 0.250 0.750 0.250
Pb3 0.750 0.250 0.250
Pb4 0.750 0.750 0.750


The records above give, respectively, V values of 21.20, 22.17, 31.61, 28.77, 29.03, 32.42 Å³/atom.
The records above give, respectively, spin magnetization values of 0.00, 0.02, 3.75, 1.31, 0.06, 2.53 μB per formula unit.